Computed, not measured: crystalline PaZn11 at its relaxed geometry at the PBE level of DFT.

Geometry as CIF:
```
data_PaZn11
_chemical_formula_sum 'Pa2 Zn22'
_cell_length_a 6.900
_cell_length_b 8.179
_cell_length_c 8.179
_cell_angle_alpha 79.75
_cell_angle_beta 65.05
_cell_angle_gamma 65.05
_space_group_name_H-M_alt 'P 1'
_space_group_IT_number 1
loop_
_space_group_symop_operation_xyz
'x,y,z'
loop_
_atom_site_label
_atom_site_fract_x
_atom_site_fract_y
_atom_site_fract_z
Pa1 0.500 0.000 0.000
Pa2 0.250 0.500 0.500
Zn1 0.428 0.825 0.416
Zn2 0.670 0.175 0.584
Zn3 0.000 0.000 0.000
Zn4 0.750 0.500 0.500
Zn5 0.375 0.750 0.750
Zn6 0.875 0.750 0.250
Zn7 0.875 0.250 0.750
Zn8 0.875 0.250 0.250
Zn9 0.428 0.416 0.825
Zn10 0.003 0.675 0.916
Zn11 0.594 0.325 0.084
Zn12 0.670 0.584 0.175
Zn13 0.747 0.584 0.825
Zn14 0.156 0.416 0.175
Zn15 0.080 0.325 0.916
Zn16 0.322 0.675 0.084
Zn17 0.322 0.084 0.675
Zn18 0.747 0.825 0.584
Zn19 0.156 0.175 0.416
Zn20 0.080 0.916 0.325
Zn21 0.003 0.916 0.675
Zn22 0.594 0.084 0.325
```

Output
**Uncorrected energy**: -49.02 eV for the cell shown
**SG**: No. 141
**Formation enthalpy at 0 K**: -0.083 eV per atom



Computed, not measured: crystalline Pa4Zn at its relaxed geometry at the PBE level of DFT.

Geometry as CIF:
```
data_Pa4Zn
_chemical_formula_sum 'Pa4 Zn1'
_cell_length_a 5.240
_cell_length_b 5.240
_cell_length_c 5.240
_cell_angle_alpha 90.00
_cell_angle_beta 90.00
_cell_angle_gamma 90.00
_space_group_name_H-M_alt 'P 1'
_space_group_IT_number 1
loop_
_space_group_symop_operation_xyz
'x,y,z'
loop_
_atom_site_label
_atom_site_fract_x
_atom_site_fract_y
_atom_site_fract_z
Zn1 0.500 0.500 0.500
Pa1 0.000 0.000 0.000
Pa2 0.500 0.000 0.500
Pa3 0.000 0.500 0.500
Pa4 0.500 0.500 0.000
```

Output
**Uncorrected energy**: -34.17 eV for the cell shown
**SG**: No. 221
**Formation enthalpy at 0 K**: 1.017 eV per atom



Computed, not measured: crystalline Pa3Zn at its relaxed geometry at the PBE level of DFT.

Geometry as CIF:
```
data_Pa3Zn
_chemical_formula_sum 'Pa6 Zn2'
_cell_length_a 3.166
_cell_length_b 8.498
_cell_length_c 8.173
_cell_angle_alpha 124.38
_cell_angle_beta 90.00
_cell_angle_gamma 90.00
_space_group_name_H-M_alt 'P 1'
_space_group_IT_number 1
loop_
_space_group_symop_operation_xyz
'x,y,z'
loop_
_atom_site_label
_atom_site_fract_x
_atom_site_fract_y
_atom_site_fract_z
Pa1 0.750 0.297 0.390
Pa2 0.750 0.079 0.882
Pa3 0.750 0.536 0.854
Pa4 0.250 0.703 0.610
Pa5 0.250 0.921 0.118
Pa6 0.250 0.464 0.146
Zn1 0.250 0.150 0.609
Zn2 0.750 0.850 0.391
```

Output
**Offset from the most stable computed form**: 0.22 eV/f.u.
**Uncorrected energy**: -59.32 eV for the cell shown
**SG**: No. 11
**Formation enthalpy at 0 K**: 0.025 eV per atom



Computed, not measured: crystalline PaZn3 at its relaxed geometry at the PBE level of DFT.

Geometry as CIF:
```
data_PaZn3
_chemical_formula_sum 'Pa2 Zn6'
_cell_length_a 4.518
_cell_length_b 5.577
_cell_length_c 6.401
_cell_angle_alpha 90.00
_cell_angle_beta 90.00
_cell_angle_gamma 113.90
_space_group_name_H-M_alt 'P 1'
_space_group_IT_number 1
loop_
_space_group_symop_operation_xyz
'x,y,z'
loop_
_atom_site_label
_atom_site_fract_x
_atom_site_fract_y
_atom_site_fract_z
Pa1 0.594 0.187 0.250
Pa2 0.406 0.813 0.750
Zn1 0.703 0.406 0.750
Zn2 0.297 0.594 0.250
Zn3 0.119 0.239 0.555
Zn4 0.881 0.761 0.445
Zn5 0.119 0.239 0.945
Zn6 0.881 0.761 0.055
```

Output
**Uncorrected energy**: -27.14 eV for the cell shown
**SG**: No. 63
**Formation enthalpy at 0 K**: -0.063 eV per atom



Question: Among the records above, which one has the highest formation enthalpy at 0 K?
Answer: Pa4Zn



Question: The highest uncorrected energy belongs to which entry?
Answer: PaZn3